# 1
Here is a relaxed structure of Lu2Sb2O5 from the Open Quantum Materials Database. Energies are from PBE.

a b c (Å): 3.795 3.795 9.146
angles (deg): 90.00 90.00 90.00
Atoms (fractional coordinates):
Lu: 0.000 0.000 0.244
Lu: 0.000 0.000 0.756
Sb: 0.500 0.500 0.000
Sb: 0.500 0.500 0.500
O: 0.000 0.000 0.000
O: 0.000 0.500 0.355
O: 0.000 0.500 0.645
O: 0.500 0.000 0.355
O: 0.500 0.000 0.645

Results
Energy relative to the lowest polymorph listed for this composition in meV/atom: 0
Space group: P4/mmm
Magnetization in μB per cell: 0.00

# 2
Here is a relaxed structure of GaMo4PbN2 from the Open Quantum Materials Database. Energies are from PBE.

a b c (Å): 3.238 3.238 12.888
angles (deg): 90.00 90.00 120.00
Atoms (fractional coordinates):
Ga: 0.000 0.000 0.000
Mo: 0.000 0.000 0.313
Mo: 0.000 0.000 0.687
Mo: 0.667 0.333 0.156
Mo: 0.667 0.333 0.844
Pb: 0.667 0.333 0.500
N: 0.333 0.667 0.243
N: 0.333 0.667 0.757

Results
Electronic total energy in eV/atom: -8.304
Space group: P-6m2
Magnetization in μB per cell: 0.00

# 3
Here is a relaxed structure of Li2AlCd2GaAu2 from the Open Quantum Materials Database. Energies are from PBE.

a b c (Å): 4.616 4.616 6.461
angles (deg): 90.00 90.00 90.00
Atoms (fractional coordinates):
Li: 0.000 0.500 0.246
Li: 0.500 0.000 0.754
Al: 0.000 0.000 0.500
Cd: 0.000 0.000 0.000
Cd: 0.500 0.500 0.500
Ga: 0.500 0.500 0.000
Au: 0.000 0.500 0.742
Au: 0.500 0.000 0.258

Results
Electronic total energy in eV/atom: -2.691
Space group: P-4m2

# 4
Here is a relaxed structure of LaOsNO from the Open Quantum Materials Database. Energies are from PBE.

a b c (Å): 3.793 5.750 5.240
angles (deg): 90.00 90.00 90.00
Atoms (fractional coordinates):
La: 0.000 0.201 0.000
La: 0.000 0.799 0.500
Os: 0.500 0.355 0.505
Os: 0.500 0.645 0.005
N: 0.000 0.345 0.496
N: 0.000 0.655 0.996
O: 0.500 0.062 0.744
O: 0.500 0.938 0.244

Results
Energy relative to the lowest polymorph listed for this composition in meV/atom: 30
Space group: Pmc2_1
Magnetization in μB per cell: 0.00

# 5
Here is a relaxed structure of Lu3BiC2 from the Open Quantum Materials Database. Energies are from PBE.

a b c (Å): 3.534 3.534 21.667
angles (deg): 90.00 90.00 120.00
Atoms (fractional coordinates):
Lu: 0.000 0.000 0.000
Lu: 0.000 0.000 0.500
Lu: 0.333 0.667 0.123
Lu: 0.333 0.667 0.377
Lu: 0.667 0.333 0.623
Lu: 0.667 0.333 0.877
Bi: 0.000 0.000 0.250
Bi: 0.000 0.000 0.750
C: 0.333 0.667 0.570
C: 0.333 0.667 0.930
C: 0.667 0.333 0.070
C: 0.667 0.333 0.430

Results
Electronic total energy in eV/atom: -6.528
Space group: P6_3/mmc
Magnetization in μB per cell: 0.41

# 6
Here is a relaxed structure of SmDyTl from the Open Quantum Materials Database. Energies are from PBE.

a b c (Å): 5.211 5.211 5.211
angles (deg): 60.00 60.00 60.00
Atoms (fractional coordinates):
Sm: 0.000 0.000 0.000
Dy: 0.500 0.500 0.500
Tl: 0.750 0.750 0.750

Results
Energy relative to the lowest polymorph listed for this composition in meV/atom: 0
Space group: F-43m
Magnetization in μB per cell: 0.40

# 7
Here is a relaxed structure of NpTeAs from the Open Quantum Materials Database. Energies are from PBE.

a b c (Å): 4.953 4.953 4.953
angles (deg): 60.00 60.00 60.00
Atoms (fractional coordinates):
Np: 0.000 0.000 0.000
Te: 0.250 0.250 0.250
As: 0.750 0.750 0.750

Results
Electronic total energy in eV/atom: -7.114
Space group: F-43m
Magnetization in μB per cell: 2.97

# 8
Here is a relaxed structure of MgInCuIr from the Open Quantum Materials Database. Energies are from PBE.

a b c (Å): 4.511 4.511 4.511
angles (deg): 60.00 60.00 60.00
Atoms (fractional coordinates):
Mg: 0.000 0.000 0.000
In: 0.500 0.500 0.500
Cu: 0.750 0.750 0.750
Ir: 0.250 0.250 0.250

Results
Energy relative to the lowest polymorph listed for this composition in meV/atom: 0
Space group: F-43m
Magnetization in μB per cell: 0.00

# 9
Here is a relaxed structure of ZrCuAsAu from the Open Quantum Materials Database. Energies are from PBE.

a b c (Å): 4.640 4.640 4.640
angles (deg): 60.00 60.00 60.00
Atoms (fractional coordinates):
Zr: 0.000 0.000 0.000
Cu: 0.500 0.500 0.500
As: 0.250 0.250 0.250
Au: 0.750 0.750 0.750

Results
Energy relative to the lowest polymorph listed for this composition in meV/atom: 0
Space group: F-43m
Magnetization in μB per cell: 0.00

# 10
Here is a relaxed structure of Zr4Ta2In3C3 from the Open Quantum Materials Database. Energies are from PBE.

a b c (Å): 5.725 5.725 15.140
angles (deg): 100.96 100.96 60.07
Atoms (fractional coordinates):
Zr: 0.035 0.190 0.087
Zr: 0.132 0.304 0.413
Zr: 0.190 0.035 0.587
Zr: 0.304 0.132 0.913
Zr: 0.696 0.868 0.087
Zr: 0.810 0.965 0.413
Zr: 0.868 0.696 0.587
Zr: 0.965 0.810 0.913
Ta: 0.354 0.525 0.076
Ta: 0.475 0.646 0.424
Ta: 0.525 0.354 0.576
Ta: 0.646 0.475 0.924
In: 0.105 0.895 0.250
In: 0.268 0.419 0.752
In: 0.419 0.268 0.252
In: 0.581 0.732 0.748
In: 0.732 0.581 0.248
In: 0.895 0.105 0.750
C: 0.000 0.500 0.000
C: 0.179 0.661 0.500
C: 0.339 0.821 0.000
C: 0.500 0.000 0.500
C: 0.661 0.179 0.000
C: 0.821 0.339 0.500

Results
Electronic total energy in eV/atom: -8.433
Space group: C2/c
Magnetization in μB per cell: 0.01

# 11
Here is a relaxed structure of NaY2OsO6 from the Open Quantum Materials Database. Energies are from PBE.

a b c (Å): 5.399 5.815 9.417
angles (deg): 90.00 123.49 90.00
Atoms (fractional coordinates):
Na: 0.000 0.000 0.000
Na: 0.000 0.500 0.500
Y: 0.219 0.075 0.744
Y: 0.219 0.425 0.244
Y: 0.781 0.575 0.756
Y: 0.781 0.925 0.256
Os: 0.500 0.000 0.500
Os: 0.500 0.500 0.000
O: 0.142 0.173 0.442
O: 0.142 0.327 0.942
O: 0.258 0.713 0.418
O: 0.258 0.787 0.918
O: 0.411 0.067 0.270
O: 0.411 0.433 0.770
O: 0.589 0.567 0.230
O: 0.589 0.933 0.730
O: 0.742 0.213 0.082
O: 0.742 0.287 0.582
O: 0.858 0.673 0.058
O: 0.858 0.827 0.558

Results
Electronic total energy in eV/atom: -7.883
Space group: P2_1/c
Magnetization in μB per cell: 6.01

Repeat the eleventh record exactly.
Here is a relaxed structure of NaY2OsO6 from the Open Quantum Materials Database. Energies are from PBE.

a b c (Å): 5.399 5.815 9.417
angles (deg): 90.00 123.49 90.00
Atoms (fractional coordinates):
Na: 0.000 0.000 0.000
Na: 0.000 0.500 0.500
Y: 0.219 0.075 0.744
Y: 0.219 0.425 0.244
Y: 0.781 0.575 0.756
Y: 0.781 0.925 0.256
Os: 0.500 0.000 0.500
Os: 0.500 0.500 0.000
O: 0.142 0.173 0.442
O: 0.142 0.327 0.942
O: 0.258 0.713 0.418
O: 0.258 0.787 0.918
O: 0.411 0.067 0.270
O: 0.411 0.433 0.770
O: 0.589 0.567 0.230
O: 0.589 0.933 0.730
O: 0.742 0.213 0.082
O: 0.742 0.287 0.582
O: 0.858 0.673 0.058
O: 0.858 0.827 0.558

Results
Electronic total energy in eV/atom: -7.883
Space group: P2_1/c
Magnetization in μB per cell: 6.01